Crystalline PmAs2Pt at its relaxed geometry, computed with PBE.

It has space group P4/mmm (No. 123), with a = 4.5231 Å, b = 4.5231 Å, c = 3.9014 Å, α = 90.00°, β = 90.00° and γ = 90.00°. Symmetry generates all atoms from Pm at (0.0000, 0.0000, 0.0000), As at (0.0000, 0.5000, 0.5000) and Pt at (0.5000, 0.5000, 0.0000).

As for the energy relative to the lowest polymorph listed for this composition: 0.0000 eV per atom. For the formation energy, the calculation gives -663 meV per atom. The total energy is -22.74 eV/f.u. As for the spin magnetization: 0.00 μB per cell.